! Hf2CdWF, relaxed, DFT GGA+U; values from VASP
! - calculated total energy (eV per formula unit) = -29.5
&SYSTEM
  ibrav = 0, nat = 5, ntyp = 4
/
ATOMIC_SPECIES
Hf 178.49 Hf.upf
Cd 112.41 Cd.upf
W 183.84 W.upf
F 19.00 F.upf
CELL_PARAMETERS angstrom
4.502 0.000 0.000
0.000 4.502 0.000
0.000 0.000 4.489
ATOMIC_POSITIONS crystal
Hf 0.000 0.500 0.000
Hf 0.500 0.000 0.000
Cd 0.000 0.000 0.500
W 0.500 0.500 0.500
F 0.500 0.500 0.000